1.
First-principles (PBE) data for an optimized crystal structure of Cs2RbCd12Au3, as listed in Alexandria.

Cell lengths 10.4511, 10.4511, 10.4511 Å; angles 55.44, 55.44, 55.44 degrees
Fractional coordinates of all 18 atoms:
1 Cs 0.1042 0.1042 0.1042
2 Cs 0.8958 0.8958 0.8958
3 Rb 0.5000 0.5000 0.5000
4 Cd 0.0222 0.3399 0.3399
5 Cd 0.1764 0.1764 0.6537
6 Cd 0.1764 0.6537 0.1764
7 Cd 0.3399 0.0222 0.3399
8 Cd 0.3399 0.3399 0.0222
9 Cd 0.3463 0.8236 0.8236
10 Cd 0.6537 0.1764 0.1764
11 Cd 0.6601 0.6601 0.9778
12 Cd 0.6601 0.9778 0.6601
13 Cd 0.8236 0.3463 0.8236
14 Cd 0.8236 0.8236 0.3463
15 Cd 0.9778 0.6601 0.6601
16 Au 0.0000 0.5000 0.5000
17 Au 0.5000 0.0000 0.5000
18 Au 0.5000 0.5000 0.0000

DFT total energy, eV per atom: -1.2884
SG: R-3m, No. 166
M_tot, μB per formula unit: 0.000

***

2.
First-principles (PBE) data for an optimized crystal structure of Sc3Tc, as listed in Alexandria.

Cell lengths 9.7155, 9.7155, 9.7155 Å; angles 19.06, 19.06, 19.06 degrees
Fractional coordinates of all 4 atoms:
1 Sc 0.0000 0.0000 0.0000
2 Sc 0.2349 0.2349 0.2349
3 Sc 0.7651 0.7651 0.7651
4 Tc 0.5000 0.5000 0.5000

DFT total energy, eV per atom: -7.3015
SG: R-3m, No. 166
M_tot, μB per formula unit: 0.358

***

3.
First-principles (PBE) data for an optimized crystal structure of KGe2P2, as listed in Alexandria.

Cell lengths 8.1115, 8.1115, 3.4040 Å; angles 90.00, 90.00, 90.00 degrees
Fractional coordinates of all 10 atoms:
1 K 0.0000 0.0000 0.0000
2 K 0.5000 0.5000 0.0000
3 Ge 0.1197 0.3803 0.0000
4 Ge 0.3803 0.8803 0.0000
5 Ge 0.6197 0.1197 0.0000
6 Ge 0.8803 0.6197 0.0000
7 P 0.1343 0.6343 0.5000
8 P 0.3657 0.1343 0.5000
9 P 0.6343 0.8657 0.5000
10 P 0.8657 0.3657 0.5000

DFT total energy, eV per atom: -4.0466
SG: P4/mbm, No. 127
M_tot, μB per formula unit: 0.000

***

4.
First-principles (PBE) data for an optimized crystal structure of Nd3Dy6Tm2Zr, as listed in Alexandria.

Cell lengths 6.1210, 6.1210, 11.6935 Å; angles 94.99, 94.99, 119.93 degrees
Fractional coordinates of all 12 atoms:
1 Nd 0.0000 0.0000 0.0000
2 Nd 0.3338 0.6662 0.0000
3 Nd 0.6662 0.3338 0.0000
4 Dy 0.0931 0.4201 0.2598
5 Dy 0.2532 0.2532 0.7400
6 Dy 0.4201 0.0931 0.2598
7 Dy 0.5799 0.9069 0.7402
8 Dy 0.7468 0.7468 0.2600
9 Dy 0.9069 0.5799 0.7402
10 Tm 0.1668 0.8332 0.5000
11 Tm 0.8332 0.1668 0.5000
12 Zr 0.5000 0.5000 0.5000

DFT total energy, eV per atom: -4.9066
SG: C2/m, No. 12
M_tot, μB per formula unit: 0.000

***

5.
First-principles (PBE) data for an optimized crystal structure of HfZr3Cr, as listed in Alexandria.

Cell lengths 4.8615, 4.8615, 4.8615 Å; angles 90.00, 90.00, 90.00 degrees
Fractional coordinates of all 5 atoms:
1 Hf 0.0000 0.0000 0.0000
2 Zr 0.0000 0.5000 0.5000
3 Zr 0.5000 0.0000 0.5000
4 Zr 0.5000 0.5000 0.0000
5 Cr 0.5000 0.5000 0.5000

SG: Pm-3m, No. 221
Energy relative to the lowest polymorph listed for this composition, meV per atom: 0
M_tot, μB per formula unit: 0.000

***

6.
First-principles (PBE) data for an optimized crystal structure of Rb2Tl2Ir, as listed in Alexandria.

Cell lengths 7.4418, 7.4418, 6.4092 Å; angles 90.00, 90.00, 90.00 degrees
Fractional coordinates of all 10 atoms:
1 Rb 0.1753 0.3247 0.0000
2 Rb 0.3247 0.8247 0.0000
3 Rb 0.6753 0.1753 0.0000
4 Rb 0.8247 0.6753 0.0000
5 Tl 0.1896 0.6896 0.5000
6 Tl 0.3104 0.1896 0.5000
7 Tl 0.6896 0.8104 0.5000
8 Tl 0.8104 0.3104 0.5000
9 Ir 0.0000 0.0000 0.5000
10 Ir 0.5000 0.5000 0.5000

DFT total energy, eV per atom: -2.8602
SG: P4/mbm, No. 127
M_tot, μB per formula unit: 0.000

***

Repeat the second record exactly.
First-principles (PBE) data for an optimized crystal structure of Sc3Tc, as listed in Alexandria.

Cell lengths 9.7155, 9.7155, 9.7155 Å; angles 19.06, 19.06, 19.06 degrees
Fractional coordinates of all 4 atoms:
1 Sc 0.0000 0.0000 0.0000
2 Sc 0.2349 0.2349 0.2349
3 Sc 0.7651 0.7651 0.7651
4 Tc 0.5000 0.5000 0.5000

DFT total energy, eV per atom: -7.3015
SG: R-3m, No. 166
M_tot, μB per formula unit: 0.358